No. 1
First-principles (PBE-GGA) data for crystalline Rb2SnBi at its relaxed geometry, as listed in Alexandria via LeMat-Bulk.

## Properties
**Density**: 5.03 g cm⁻³
**E_tot**: -38.42 eV per cell
**Total magnetic moment**: 0.1215 μB per atom
**DOS at the Fermi energy**: 12.892 states/eV per cell
**Crystal system**: cubic
**Formation enthalpy at 0 K**: 0.053 eV/atom

Unit cell a=8.6986 b=8.6986 c=8.6986 alpha=90.00 beta=90.00 gamma=90.00
Closest atoms and distances in Å follow each position.
Space group Fm-3m (No. 225)
Unique sites:
Rb 0.2500 0.2500 0.2500 x8  4 Sn 3.77, 4 Bi 3.77
Sn 0.0000 0.0000 0.0000 x4  8 Rb 3.77
Bi 0.0000 0.0000 0.5000 x4  8 Rb 3.77

=====

No. 2
First-principles (PBE-GGA) data for crystalline K2TaSe at its relaxed geometry, as listed in Alexandria via LeMat-Bulk.

## Properties
**Density**: 4.63 g cm⁻³
**E_tot**: -50.80 eV per cell
**Total magnetic moment**: 0.0000 μB per atom
**DOS at the Fermi energy**: 4.286 states/eV per cell
**Crystal system**: trigonal

Unit cell a=3.5022 b=3.5022 c=34.2243 alpha=90.00 beta=90.00 gamma=120.00
Closest atoms and distances in Å follow each position.
Space group R3m (No. 160, hexagonal axes)
Unique sites:
K 0.0000 0.0000 0.0000 x3  6 K 3.50, 3 Ta 3.75
K 0.0000 0.0000 0.2129 x3  3 Se 3.21, 6 K 3.50
Ta 0.0000 0.0000 0.7591 x3  3 Se 2.60
Se 0.0000 0.0000 0.4735 x3  3 Ta 2.60

=====

No. 3
First-principles (PBE-GGA) data for crystalline NiPW2 at its relaxed geometry, as listed in Alexandria via LeMat-Bulk.

## Properties
**Density**: 13.66 g cm⁻³
**E_tot**: -36.96 eV per cell
**Total magnetic moment**: 0.0000 μB per atom
**DOS at the Fermi energy**: 3.978 states/eV per cell
**Crystal system**: tetragonal
**Formation enthalpy at 0 K**: 0.034 eV/atom

Unit cell a=3.2090 b=3.2090 c=5.4001 alpha=90.00 beta=90.00 gamma=90.00
Closest atoms and distances in Å follow each position.
Space group P4mm (No. 99)
Unique sites:
Ni 0.0000 0.0000 0.0000 x1  6 W 2.52-2.77, 4 P 2.67
P 0.5000 0.5000 0.2615 x1  5 W 2.50-2.57, 4 Ni 2.67
W 0.0000 0.0000 0.4864 x1  4 P 2.57, 2 Ni 2.63-2.77, 4 W 2.82
W 0.5000 0.5000 0.7980 x1  1 P 2.50, 4 Ni 2.52

=====

No. 4
First-principles (PBE-GGA) data for crystalline NaLiPuO3 at its relaxed geometry, as listed in Alexandria via LeMat-Bulk.

## Properties
**Density**: 6.41 g cm⁻³
**E_tot**: -93.19 eV per cell
**Total magnetic moment**: 0.6667 μB per atom
**DOS at the Fermi energy**: 11.120 states/eV per cell
**Crystal system**: monoclinic

Unit cell a=5.8741 b=3.4976 c=8.2155 alpha=90.00 beta=99.02 gamma=90.00
Closest atoms and distances in Å follow each position.
Space group P2_1/m (No. 11)
Unique sites:
Na 0.1167 0.2500 0.1906 x2  4 O 2.39-2.58
Li 0.1687 0.7500 0.5379 x2  4 O 1.96-2.17
Pu 0.3821 0.2500 0.8202 x2  6 O 2.12-2.35
O 0.0608 0.2500 0.6623 x2  3 Li 1.96-2.17, 1 Pu 2.12
O 0.2857 0.7500 0.9880 x2  3 Pu 2.31-2.35, 1 Na 2.58
O 0.4848 0.7500 0.6899 x2  1 Li 2.07, 2 Pu 2.18

=====

No. 5
First-principles (PBE-GGA) data for crystalline NaTlBiCl6 at its relaxed geometry, as listed in Alexandria via LeMat-Bulk.

## Properties
**Density**: 3.96 g cm⁻³
**E_tot**: -56.35 eV per cell
**Total magnetic moment**: 0.0000 μB per atom
**DOS at the Fermi energy**: 7.142 states/eV per cell
**Crystal system**: trigonal

Unit cell a=7.0766 b=7.0766 c=12.5661 alpha=90.00 beta=90.00 gamma=120.00
Closest atoms and distances in Å follow each position.
Space group P-31c (No. 163)
Unique sites:
Na 0.3333 0.6667 0.2500 x2  6 Cl 2.84
Tl 0.0000 0.0000 0.0000 x2  6 Cl 2.91
Bi 0.3333 0.6667 0.7500 x2  6 Cl 2.72
Cl 0.0136 0.3495 0.6285 x12  1 Bi 2.72, 1 Na 2.84, 1 Tl 2.91

=====

No. 6
First-principles (PBE-GGA) data for crystalline Li3LaBi at its relaxed geometry, as listed in Alexandria via LeMat-Bulk.

## Properties
**Density**: 4.61 g cm⁻³
**E_tot**: -14.68 eV per cell
**Total magnetic moment**: 0.0026 μB per atom
**DOS at the Fermi energy**: 5.774 states/eV per cell
**Crystal system**: cubic
**Formation enthalpy at 0 K**: -0.025 eV/atom

Unit cell a=5.1026 b=5.1026 c=5.1026 alpha=90.00 beta=90.00 gamma=90.00
Closest atoms and distances in Å follow each position.
Space group Pm-3m (No. 221)
Unique sites:
Li 0.0000 0.0000 0.5000 x3  2 Bi 2.55
La 0.5000 0.5000 0.5000 x1  12 Li 3.61
Bi 0.0000 0.0000 0.0000 x1  6 Li 2.55

=====

No. 7
First-principles (PBE-GGA) data for crystalline Na3I2N2 at its relaxed geometry, as listed in Alexandria via LeMat-Bulk.

## Properties
**Density**: 3.03 g cm⁻³
**E_tot**: -56.31 eV per cell
**Total magnetic moment**: 0.1394 μB per atom
**DOS at the Fermi energy**: 3.961 states/eV per cell
**Crystal system**: orthorhombic

Unit cell a=4.3202 b=4.9347 c=18.0078 alpha=90.00 beta=90.00 gamma=90.00
Closest atoms and distances in Å follow each position.
Space group Immm (No. 71)
Unique sites:
Na 0.0000 0.0000 0.0000 x2  4 N 2.54
Na 0.0000 0.0000 0.3584 x4  2 N 2.99, 4 I 3.31
I 0.0000 0.0000 0.1679 x4  5 Na 3.02-3.31
N 0.1370 0.5000 0.0000 x4  1 N 1.18

=====

No. 8
First-principles (PBE-GGA) data for crystalline LiSb2Te at its relaxed geometry, as listed in Alexandria via LeMat-Bulk.

## Properties
**Density**: 5.76 g cm⁻³
**E_tot**: -13.38 eV per cell
**Total magnetic moment**: 0.0000 μB per atom
**DOS at the Fermi energy**: 2.049 states/eV per cell
**Crystal system**: orthorhombic

Unit cell a=3.2107 b=5.4780 c=6.1941 alpha=90.00 beta=90.00 gamma=90.00
Closest atoms and distances in Å follow each position.
Space group Pmmm (No. 47)
Unique sites:
Li 0.0000 0.0000 0.0000 x1  2 Te 3.10, 2 Li 3.21
Sb 0.5000 0.5000 0.2257 x2  1 Sb 2.80
Te 0.0000 0.0000 0.5000 x1  2 Li 3.10, 2 Te 3.21